Material: InNiW2
Method: DFT, PBE
State: relaxed

The calculation puts the electronic total energy at -65.6 eV for the cell shown. The size of the total moment comes out at 0.000 μB/atom. As for the formation energy from the elements: 0.402 eV per atom.

Unit cell a=3.3538 b=4.5582 c=8.3830 alpha=90.00 beta=90.00 gamma=90.00
Space group Imm2 (No. 44)
Inequivalent atoms, fractional coordinates:
In  0.0000  0.0000  0.0000 [2 per cell]
Ni  0.0000  0.5000  0.7403 [2 per cell]
W  0.0000  0.0000  0.4797 [2 per cell]
W  0.0000  0.5000  0.2207 [2 per cell]



Material: InNiW3
Method: DFT, PBE
State: relaxed

The calculation puts the electronic total energy at -31.4 eV for the cell shown. The value obtained for the energy above the most stable polymorph in this dataset is 173.6 kJ per mole of atoms. The size of the total moment comes out at 0.000 μB/atom. As for the formation energy from the elements: 3.203 eV per atom.

Unit cell a=4.8315 b=4.8315 c=4.8315 alpha=90.00 beta=90.00 gamma=90.00
Space group Pm-3m (No. 221)
Inequivalent atoms, fractional coordinates:
In  0.0000  0.0000  0.0000 [1 per cell]
Ni  0.5000  0.5000  0.5000 [1 per cell]
W  0.0000  0.0000  0.5000 [3 per cell]